The following is a DFT calculation (PBE-GGA) of an optimized crystal structure of Er12Tm3In.

Properties
ΔE_f, eV/atom: -0.04
Volume, Å³/cell: 476.3
Space group: No. 123
DOS(E_F), states/eV/f.u.: 19.16
Total magnetization, μB/f.u.: 0.00

The structure in POSCAR format:
```
Er12Tm3In
1.0
4.900 0.000 0.000
0.000 4.900 0.000
0.000 0.000 19.839
Er Tm In
12 3 1
direct
0.000 0.000 0.000
0.000 0.000 0.245
0.000 0.000 0.500
0.000 0.000 0.755
0.000 0.500 0.122
0.000 0.500 0.374
0.000 0.500 0.626
0.000 0.500 0.878
0.500 0.000 0.122
0.500 0.000 0.374
0.500 0.000 0.626
0.500 0.000 0.878
0.500 0.500 0.249
0.500 0.500 0.500
0.500 0.500 0.751
0.500 0.500 0.000
```